BeRu2Rh | PBE | relaxed

a = 4.884 Å, b = 4.884 Å, c = 4.286 Å
α = 63.97°, β = 63.97°, γ = 33.41°
Fractional positions:
Ru 0.998 0.998 0.002
Ru 0.221 0.221 0.279
Rh 0.782 0.782 0.718
Be 0.498 0.498 0.501

Values from the calculation:
* energy: -7.50 eV/atom
* energy relative to the elements: -96 meV/atom
* SG: Imm2, No. 44